1.
Computed, not measured: a PBEsol-optimized structure of Nd2In3Cu at the meta-GGA SCAN level of DFT.

Geometry as extended XYZ:
```
6
Lattice="4.726 0.000 0.000 -2.363 4.093 0.000 0.000 0.000 7.583" Properties=species:S:1:pos:R:3 pbc="T T T"
Nd 0.000 0.000 0.000
Nd 0.000 0.000 3.512
In 0.000 2.728 5.964
In 2.363 1.364 1.836
In 2.363 1.364 5.149
Cu 0.000 2.728 1.380
```

Values from the calculation:
E: -34.347 eV per atom
space group: P3m1
energy relative to the elements: -0.59 eV per atom

=====

2.
Computed, not measured: a PBEsol-optimized structure of NdIn2Cu9 at the meta-GGA SCAN level of DFT.

Geometry as extended XYZ:
```
24
Lattice="8.363 0.000 0.000 0.000 8.363 0.000 0.000 0.000 4.928" Properties=species:S:1:pos:R:3 pbc="T T T"
Nd 0.000 0.000 0.000
Nd 4.182 4.182 0.000
In 1.032 3.149 0.000
In 3.149 7.331 0.000
In 5.214 1.032 0.000
In 7.331 5.214 0.000
Cu 0.000 4.182 2.464
Cu 0.543 1.722 2.464
Cu 1.473 5.655 1.220
Cu 1.473 5.655 3.709
Cu 1.722 7.820 2.464
Cu 2.460 3.639 2.464
Cu 2.709 1.473 1.220
Cu 2.709 1.473 3.709
Cu 3.639 5.904 2.464
Cu 4.182 0.000 2.464
Cu 4.725 2.460 2.464
Cu 5.655 6.890 1.220
Cu 5.655 6.890 3.709
Cu 5.904 4.725 2.464
Cu 6.641 0.543 2.464
Cu 6.890 2.709 1.220
Cu 6.890 2.709 3.709
Cu 7.820 6.641 2.464
```

Values from the calculation:
E: -20.752 eV per atom
space group: P4/mbm
energy relative to the elements: -0.16 eV per atom

=====

3.
Computed, not measured: a PBEsol-optimized structure of NdInCu2 at the meta-GGA SCAN level of DFT.

Geometry as extended XYZ:
```
4
Lattice="0.000 3.331 3.331 3.331 0.000 3.331 3.331 3.331 0.000" Properties=species:S:1:pos:R:3 pbc="T T T"
Nd 0.000 0.000 0.000
In 3.331 3.331 3.331
Cu 1.666 1.666 1.666
Cu 4.997 4.997 4.997
```

Values from the calculation:
E: -27.179 eV per atom
space group: Fm-3m
energy relative to the elements: -0.34 eV per atom

=====

4.
Computed, not measured: a PBEsol-optimized structure of NdInCu at the meta-GGA SCAN level of DFT.

Geometry as extended XYZ:
```
9
Lattice="7.471 0.000 0.000 -3.736 6.470 0.000 0.000 0.000 4.030" Properties=species:S:1:pos:R:3 pbc="T T T"
Nd -1.547 2.680 0.000
Nd 3.094 0.000 0.000
Nd 2.189 3.791 0.000
In -2.809 4.865 2.015
In 0.927 1.605 2.015
In 5.618 0.000 2.015
Cu 0.000 0.000 0.000
Cu 0.000 4.314 2.015
Cu 3.736 2.157 2.015
```

Values from the calculation:
E: -31.217 eV per atom
space group: P-62m
energy relative to the elements: -0.49 eV per atom

=====

5.
Computed, not measured: a PBEsol-optimized structure of NdInCu4 at the meta-GGA SCAN level of DFT.

Geometry as extended XYZ:
```
6
Lattice="0.000 3.609 3.609 3.609 0.000 3.609 3.609 3.609 0.000" Properties=species:S:1:pos:R:3 pbc="T T T"
Nd 0.000 0.000 0.000
In 1.805 1.805 1.805
Cu 4.505 2.714 2.714
Cu 2.714 4.505 2.714
Cu 2.714 2.714 4.505
Cu 4.505 4.505 4.505
```

Values from the calculation:
E: -23.222 eV per atom
space group: F-43m
energy relative to the elements: -0.26 eV per atom

=====

6.
Computed, not measured: a PBEsol-optimized structure of InCuNi2 at the meta-GGA SCAN level of DFT.

Geometry as extended XYZ:
```
4
Lattice="2.800 0.000 0.000 0.000 3.364 0.000 0.000 0.000 5.473" Properties=species:S:1:pos:R:3 pbc="T T T"
In 0.000 0.000 0.000
Cu 1.400 1.682 3.876
Ni 0.000 0.000 2.707
Ni 1.400 1.682 1.452
```

Values from the calculation:
E: -20.126 eV per atom
space group: Pmm2
energy relative to the elements: 0.11 eV per atom

=====

7.
Computed, not measured: a PBEsol-optimized structure of InCuNi4 at the meta-GGA SCAN level of DFT.

Geometry as extended XYZ:
```
6
Lattice="0.000 3.320 3.320 3.320 0.000 3.320 3.320 3.320 0.000" Properties=species:S:1:pos:R:3 pbc="T T T"
In 0.000 0.000 0.000
Cu 4.980 4.980 4.980
Ni 2.493 2.493 2.493
Ni 4.147 4.147 2.493
Ni 4.147 2.493 4.147
Ni 2.493 4.147 4.147
```

Values from the calculation:
E: -18.792 eV per atom
space group: F-43m
energy relative to the elements: 0.09 eV per atom

=====

8.
Computed, not measured: a PBEsol-optimized structure of InCu2Ni at the meta-GGA SCAN level of DFT.

Geometry as extended XYZ:
```
4
Lattice="3.690 0.000 0.000 0.000 3.690 0.000 0.000 0.000 3.854" Properties=species:S:1:pos:R:3 pbc="T T T"
In 0.000 0.000 0.000
Cu 0.000 1.845 1.927
Cu 1.845 0.000 1.927
Ni 1.845 1.845 0.000
```

Values from the calculation:
E: -19.976 eV per atom
space group: P4/mmm
energy relative to the elements: 0.01 eV per atom

=====

9.
Computed, not measured: a PBEsol-optimized structure of In2CuNi at the meta-GGA SCAN level of DFT.

Geometry as extended XYZ:
```
4
Lattice="-1.473 2.115 5.330 1.473 -2.115 5.330 1.473 2.115 -5.330" Properties=species:S:1:pos:R:3 pbc="T T T"
In 0.000 0.000 0.000
In 0.000 2.115 2.373
Cu 0.000 0.000 4.281
Ni 1.473 0.000 2.247
```

Values from the calculation:
E: -24.504 eV per atom
space group: Imm2
energy relative to the elements: 0.03 eV per atom

=====

10.
Computed, not measured: a PBEsol-optimized structure of InCu2Ni at the meta-GGA SCAN level of DFT.

Geometry as extended XYZ:
```
4
Lattice="0.000 2.973 2.973 2.973 0.000 2.973 2.973 2.973 0.000" Properties=species:S:1:pos:R:3 pbc="T T T"
In 0.000 0.000 0.000
Cu 2.973 2.973 2.973
Cu 4.460 4.460 4.460
Ni 1.487 1.487 1.487
```

Values from the calculation:
E: -19.963 eV per atom
space group: F-43m
energy relative to the elements: 0.03 eV per atom

=====

11.
Computed, not measured: a PBEsol-optimized structure of In3CuNi at the meta-GGA SCAN level of DFT.

Geometry as extended XYZ:
```
5
Lattice="4.823 0.000 0.000 0.000 4.823 0.000 0.000 0.000 4.823" Properties=species:S:1:pos:R:3 pbc="T T T"
In 0.000 0.000 2.411
In 0.000 2.411 0.000
In 2.411 0.000 0.000
Cu 0.000 0.000 0.000
Ni 2.411 2.411 2.411
```

Values from the calculation:
E: -25.648 eV per atom
space group: Pm-3m
energy relative to the elements: 0.66 eV per atom

=====

12.
Computed, not measured: a PBEsol-optimized structure of InCuNi2 at the meta-GGA SCAN level of DFT.

Geometry as extended XYZ:
```
4
Lattice="2.861 0.000 0.000 0.000 3.271 0.000 0.000 0.000 5.458" Properties=species:S:1:pos:R:3 pbc="T T T"
In 0.000 0.000 0.000
Cu 0.000 0.000 2.729
Ni 1.431 1.635 1.496
Ni 1.431 1.635 3.962
```

Values from the calculation:
E: -20.206 eV per atom
space group: Pmmm
energy relative to the elements: 0.03 eV per atom

=====

13.
Computed, not measured: a PBEsol-optimized structure of InCu2Ni at the meta-GGA SCAN level of DFT.

Geometry as extended XYZ:
```
4
Lattice="-1.901 1.901 3.631 1.901 -1.901 3.631 1.901 1.901 -3.631" Properties=species:S:1:pos:R:3 pbc="T T T"
In 0.000 0.000 0.000
Cu 0.000 0.000 3.631
Cu 0.000 1.901 1.816
Ni 1.901 0.000 1.816
```

Values from the calculation:
E: -19.974 eV per atom
space group: I-4m2
energy relative to the elements: 0.02 eV per atom

=====

14.
Computed, not measured: a PBEsol-optimized structure of InCuNi2 at the meta-GGA SCAN level of DFT.

Geometry as extended XYZ:
```
4
Lattice="-1.865 1.865 3.666 1.865 -1.865 3.666 1.865 1.865 -3.666" Properties=species:S:1:pos:R:3 pbc="T T T"
In 0.000 0.000 0.000
Cu 1.865 0.000 1.833
Ni 0.000 0.000 3.666
Ni 0.000 1.865 1.833
```

Values from the calculation:
E: -20.202 eV per atom
space group: I-4m2
energy relative to the elements: 0.03 eV per atom

=====

15.
Computed, not measured: a PBEsol-optimized structure of In3Cu3O8 at the meta-GGA SCAN level of DFT.

Geometry as extended XYZ:
```
28
Lattice="6.104 0.000 0.000 0.000 10.027 0.000 -2.079 0.000 5.538" Properties=species:S:1:pos:R:3 pbc="T T T"
In 0.000 0.000 0.000
In -1.039 5.013 2.769
In -0.811 1.669 2.880
In 0.228 3.345 0.111
In 3.797 6.682 5.427
In 4.836 8.358 2.658
Cu 1.883 6.950 2.801
Cu 2.922 8.090 0.032
Cu 2.012 0.000 2.769
Cu 3.052 5.013 0.000
Cu 1.103 1.937 5.506
Cu 2.142 3.077 2.737
O 0.152 6.744 2.105
O -0.888 8.297 4.874
O -0.792 5.122 4.947
O 0.248 9.918 2.178
O -0.685 1.595 5.076
O 0.354 3.418 2.307
O 1.558 1.540 3.717
O 2.597 3.473 0.948
O 1.428 6.553 4.590
O 2.467 8.487 1.821
O 3.671 6.608 3.231
O 4.710 8.432 0.462
O 3.777 0.109 3.360
O 4.817 4.905 0.591
O 4.912 1.730 0.664
O 3.873 3.283 3.433
```

Values from the calculation:
E: -15.250 eV per atom
space group: P2_1/c

=====

16.
Computed, not measured: a PBEsol-optimized structure of In2Cu3P4O16 at the meta-GGA SCAN level of DFT.

Geometry as extended XYZ:
```
50
Lattice="8.934 0.000 0.000 0.000 8.824 0.000 -2.377 0.000 7.495" Properties=species:S:1:pos:R:3 pbc="T T T"
In 1.600 8.820 1.848
In 0.411 4.416 5.596
In 4.957 0.004 5.647
In 6.146 4.408 1.899
Cu -1.188 0.000 3.748
Cu 0.000 4.412 0.000
Cu 1.508 1.132 6.669
Cu 2.696 3.280 2.922
Cu 3.861 5.544 4.574
Cu 5.049 7.692 0.826
P -1.269 1.662 6.417
P -0.080 2.750 2.670
P 3.204 5.837 1.192
P 2.015 7.398 4.939
P 4.542 1.425 2.556
P 3.354 2.986 6.304
P 6.638 6.074 4.826
P 7.826 7.162 1.078
O -0.876 5.640 4.508
O 0.313 7.595 0.761
O -0.057 1.183 2.561
O -1.246 3.229 6.308
O -0.635 1.122 5.137
O 0.554 3.290 1.389
O 2.104 1.185 0.059
O 0.916 3.227 3.807
O 0.004 5.387 7.494
O 1.192 7.849 3.747
O 2.822 5.152 2.509
O 1.633 8.083 6.256
O 1.982 5.841 5.179
O 3.170 7.395 1.431
O 2.990 1.294 2.866
O 1.801 3.118 6.614
O 4.756 5.706 0.882
O 3.568 7.529 4.629
O 3.387 1.429 6.064
O 4.575 2.983 2.316
O 4.924 0.740 1.239
O 3.736 3.672 4.987
O 5.365 0.975 3.749
O 6.553 3.437 0.001
O 5.642 5.597 3.689
O 4.453 7.639 7.436
O 6.003 5.534 6.106
O 7.192 7.701 2.358
O 7.803 5.595 1.187
O 6.615 7.641 4.935
O 6.245 1.228 6.735
O 7.433 3.183 2.987
```

Values from the calculation:
E: -12.142 eV per atom
space group: P2_1/c

=====

17.
Computed, not measured: a PBEsol-optimized structure of InCuW2O8 at the meta-GGA SCAN level of DFT.

Geometry as extended XYZ:
```
24
Lattice="4.769 -5.813 0.000 4.769 5.813 0.000 -0.146 0.000 4.972" Properties=species:S:1:pos:R:3 pbc="T T T"
In 4.659 3.934 3.729
In 4.732 -3.934 1.243
Cu 4.732 1.861 1.243
Cu 4.659 -1.861 3.729
W 2.371 1.008 3.737
W 2.444 -1.008 1.251
W 6.948 1.008 3.720
W 7.021 -1.008 1.235
O 3.481 3.680 1.971
O 1.382 0.599 0.309
O 1.309 -0.599 2.795
O 3.528 2.177 4.511
O 3.370 0.600 2.178
O 5.984 3.680 0.515
O 3.297 -0.600 4.664
O 5.791 2.177 2.946
O 3.601 -2.177 2.025
O 6.095 0.600 0.307
O 3.408 -3.680 4.457
O 6.022 -0.600 2.793
O 5.864 -2.177 0.461
O 8.083 0.599 2.176
O 8.010 -0.599 4.662
O 5.911 -3.680 3.001
```

Values from the calculation:
E: -21.758 eV per atom
space group: C2/c

=====

18.
Computed, not measured: a PBEsol-optimized structure of InCuOs at the meta-GGA SCAN level of DFT.

Geometry as extended XYZ:
```
3
Lattice="-1.546 1.546 4.706 1.546 -1.546 4.706 1.546 1.546 -4.706" Properties=species:S:1:pos:R:3 pbc="T T T"
In 0.000 0.000 0.000
Cu 0.000 0.000 3.076
Os 0.000 0.000 6.451
```

Values from the calculation:
E: -39.657 eV per atom
space group: I4mm
energy relative to the elements: 0.50 eV per atom

=====

19.
Computed, not measured: a PBEsol-optimized structure of InCuOs2W at the meta-GGA SCAN level of DFT.

Geometry as extended XYZ:
```
5
Lattice="4.728 0.000 0.000 0.000 4.728 0.000 0.000 0.000 4.813" Properties=species:S:1:pos:R:3 pbc="T T T"
In 0.000 0.000 0.000
Cu 2.364 2.364 2.406
Os 0.000 2.364 0.000
Os 2.364 0.000 0.000
W 0.000 0.000 2.406
```

Values from the calculation:
E: -49.056 eV per atom
space group: P4/mmm
energy relative to the elements: 3.35 eV per atom

=====

20.
Computed, not measured: a PBEsol-optimized structure of InCu2P at the meta-GGA SCAN level of DFT.

Geometry as extended XYZ:
```
4
Lattice="-1.911 2.008 3.882 1.911 -2.008 3.882 1.911 2.008 -3.882" Properties=species:S:1:pos:R:3 pbc="T T T"
In 0.000 0.000 0.000
Cu 1.911 0.000 1.981
Cu 0.000 2.008 1.902
P 0.000 0.000 3.882
```

Values from the calculation:
E: -18.243 eV per atom
space group: Immm
energy relative to the elements: 0.30 eV per atom

=====

21.
Computed, not measured: a PBEsol-optimized structure of InCu2P at the meta-GGA SCAN level of DFT.

Geometry as extended XYZ:
```
4
Lattice="2.850 -3.813 0.000 2.850 3.813 0.000 0.000 0.000 2.731" Properties=species:S:1:pos:R:3 pbc="T T T"
In 0.000 0.000 0.000
Cu 1.425 1.907 1.365
Cu 1.425 -1.907 1.365
P 2.850 0.000 0.000
```

Values from the calculation:
E: -18.214 eV per atom
space group: Cmmm
energy relative to the elements: 0.33 eV per atom

=====

22.
Computed, not measured: a PBEsol-optimized structure of In2CuP at the meta-GGA SCAN level of DFT.

Geometry as extended XYZ:
```
4
Lattice="2.894 -3.564 0.000 2.894 3.564 0.000 -0.721 0.000 3.654" Properties=species:S:1:pos:R:3 pbc="T T T"
In 1.447 1.782 0.000
In 1.447 -1.782 0.000
Cu -0.361 0.000 1.827
P 2.534 0.000 1.827
```

Values from the calculation:
E: -22.758 eV per atom
space group: C2/m
energy relative to the elements: 0.33 eV per atom

=====

23.
Computed, not measured: a PBEsol-optimized structure of In2CuP at the meta-GGA SCAN level of DFT.

Geometry as extended XYZ:
```
4
Lattice="2.811 0.000 0.000 0.000 3.461 0.000 0.000 0.000 7.644" Properties=species:S:1:pos:R:3 pbc="T T T"
In 0.000 0.000 1.731
In 0.000 0.000 5.913
Cu 1.405 1.731 0.000
P 0.000 1.731 3.822
```

Values from the calculation:
E: -22.891 eV per atom
space group: Pmmm
energy relative to the elements: 0.20 eV per atom

=====

| no. | theoretical density (Mg/m³) |
| --- | --- |
| 1 | 7.885 |
| 2 | 9.112 |
| 3 | 8.673 |
| 4 | 8.248 |
| 5 | 9.064 |
| 6 | 9.527 |
| 7 | 9.371 |
| 8 | 9.512 |
| 9 | 8.793 |
| 10 | 9.498 |
| 11 | 6.908 |
| 12 | 9.614 |
| 13 | 9.510 |
| 14 | 9.628 |
| 15 | 6.498 |
| 16 | 4.497 |
| 17 | 8.121 |
| 18 | 13.602 |
| 19 | 11.461 |
| 20 | 7.605 |
| 21 | 7.636 |
| 22 | 7.142 |
| 23 | 7.238 |